The following is a DFT calculation (PBEsol) of a geometry-optimized Rh2S3 structure.

Output
Formation energy without anion corrections: -0.59 eV/atom
SG: Pbcn (60)
ρ: 6.589 g/cm3

The structure in POSCAR format:
```
Rh2S3
1.0
5.955 0.000 0.000
0.000 6.086 0.000
0.000 0.000 8.401
S Rh
12 8
direct
0.110 0.893 0.349
0.954 0.250 0.000
0.390 0.393 0.151
0.390 0.107 0.849
0.890 0.393 0.349
0.454 0.250 0.500
0.110 0.607 0.651
0.610 0.893 0.151
0.890 0.107 0.651
0.610 0.607 0.849
0.046 0.750 0.000
0.546 0.750 0.500
0.749 0.968 0.892
0.749 0.532 0.108
0.251 0.468 0.892
0.751 0.468 0.608
0.251 0.032 0.108
0.249 0.532 0.392
0.751 0.032 0.392
0.249 0.968 0.608
```